This record from Alexandria describes a relaxed BeNi2Pt crystal. The functional is PBE-GGA.

Cell and atoms, written as CIF:
```
data_BeNi2Pt
_chemical_formula_sum 'Be1 Ni2 Pt1'
_cell_length_a 4.3327
_cell_length_b 4.3327
_cell_length_c 2.6734
_cell_angle_alpha 90.00
_cell_angle_beta 90.00
_cell_angle_gamma 110.96
_space_group_name_H-M_alt 'P 1'
_space_group_IT_number 1
loop_
_space_group_symop_operation_xyz
'x,y,z'
loop_
_atom_site_label
_atom_site_type_symbol
_atom_site_fract_x
_atom_site_fract_y
_atom_site_fract_z
_atom_site_occupancy
Be1 Be 0.0000 0.0000 0.0000 1
Ni1 Ni 0.0000 0.5000 0.5000 1
Ni2 Ni 0.5000 0.0000 0.5000 1
Pt1 Pt 0.5000 0.5000 0.0000 1
```

Calculated values
- Spin magnetization: 0.00 μB/atom
- Theoretical density: 11.4 Mg/m³
- SG: Cmmm, No. 65
- D(E_F): 5.5 states/eV/cell
- Formation energy: -0.194 eV per atom

This record from Alexandria describes a relaxed Cs2Cu2H5 crystal. The functional is PBE-GGA.

Cell and atoms, written as CIF:
```
data_Cs2Cu2H5
_chemical_formula_sum 'Cs2 Cu2 H5'
_cell_length_a 5.5148
_cell_length_b 5.5148
_cell_length_c 7.5570
_cell_angle_alpha 100.59
_cell_angle_beta 100.59
_cell_angle_gamma 40.24
_space_group_name_H-M_alt 'P 1'
_space_group_IT_number 1
loop_
_space_group_symop_operation_xyz
'x,y,z'
loop_
_atom_site_label
_atom_site_type_symbol
_atom_site_fract_x
_atom_site_fract_y
_atom_site_fract_z
_atom_site_occupancy
Cs1 Cs 0.0988 0.0988 0.3153 1
Cs2 Cs 0.9012 0.9012 0.6847 1
Cu1 Cu 0.3354 0.3354 0.0784 1
Cu2 Cu 0.6646 0.6646 0.9216 1
H1 H 0.2038 0.2038 0.9158 1
H2 H 0.3851 0.3851 0.2966 1
H3 H 0.5000 0.5000 0.0000 1
H4 H 0.6149 0.6149 0.7034 1
H5 H 0.7962 0.7962 0.0842 1
```

Calculated values
- E: -2.99 eV per atom
- Spin magnetization: 0.00 μB/atom
- Theoretical density: 4.5 Mg/m³
- SG: C2/m, No. 12
- D(E_F): 1.8 states/eV/cell